# SrLi2Ca2Ga2 (PBE, relaxed)
data_SrLi2Ca2Ga2
_chemical_formula_sum 'Sr3 Li6 Ca6 Ga6'
_cell_length_a 4.7415
_cell_length_b 4.7415
_cell_length_c 30.4521
_cell_angle_alpha 90.00
_cell_angle_beta 90.00
_cell_angle_gamma 120.00
_symmetry_space_group_name_H-M 'R -3 m'
_symmetry_Int_Tables_number 166
_symmetry_space_group_name_Hall '-R 3 2"'
loop_
_atom_site_label
_atom_site_type_symbol
_atom_site_fract_x
_atom_site_fract_y
_atom_site_fract_z
Sr1 Sr 0.0000 0.0000 0.0000
Li1 Li 0.0000 0.0000 0.4042
Ca1 Ca 0.0000 0.0000 0.1278
Ga1 Ga 0.0000 0.0000 0.2548
# * total moment: 0.0 μB per formula unit
# * DFT formation energy: -0.213 eV/atom



# In3Ga9Cu2 (PBE, relaxed)
data_In3Ga9Cu2
_chemical_formula_sum 'In6 Ga18 Cu4'
_cell_length_a 4.270
_cell_length_b 10.656
_cell_length_c 12.019
_cell_angle_alpha 90.00
_cell_angle_beta 90.00
_cell_angle_gamma 90.00
_symmetry_space_group_name_H-M 'I m m m'
_symmetry_Int_Tables_number 71
_symmetry_space_group_name_Hall '-I 2 2'
loop_
_atom_site_label
_atom_site_type_symbol
_atom_site_fract_x
_atom_site_fract_y
_atom_site_fract_z
In1 In 0.000 0.000 0.000
In2 In 0.000 0.000 0.320
Ga1 Ga 0.000 0.283 0.128
Ga2 Ga 0.000 0.373 0.339
Ga3 Ga 0.000 0.500 0.000
Cu1 Cu 0.000 0.210 0.500
# * total moment: 0.0 μB per formula unit
# * DFT formation energy: 0.019 eV/atom



# Sb2MoPb (PBE, relaxed)
data_Sb2MoPb
_chemical_formula_sum 'Sb2 Mo1 Pb1'
_cell_length_a 5.194
_cell_length_b 5.194
_cell_length_c 3.674
_cell_angle_alpha 90.00
_cell_angle_beta 90.00
_cell_angle_gamma 90.00
_symmetry_space_group_name_H-M 'P 4/m m m'
_symmetry_Int_Tables_number 123
_symmetry_space_group_name_Hall '-P 4 2'
loop_
_atom_site_label
_atom_site_type_symbol
_atom_site_fract_x
_atom_site_fract_y
_atom_site_fract_z
Sb1 Sb 0.000 0.500 0.000
Mo1 Mo 0.000 0.000 0.500
Pb1 Pb 0.500 0.500 0.500
# * total moment: 2.7 μB per formula unit
# * energy relative to the elements, uncorrected: 0.676 eV per atom



# NaFe2I6Cl2 (PBE, relaxed)
data_NaFe2I6Cl2
_chemical_formula_sum 'Na1 Fe2 I6 Cl2'
_cell_length_a 7.1708
_cell_length_b 7.1708
_cell_length_c 10.9039
_cell_angle_alpha 90.00
_cell_angle_beta 90.00
_cell_angle_gamma 120.00
_symmetry_space_group_name_H-M 'P -3'
_symmetry_Int_Tables_number 147
loop_
_symmetry_equiv_pos_as_xyz
'x,y,z'
'-x,-y,-z'
'-y,x-y,z'
'y,-x+y,-z'
'-x+y,-x,z'
'x-y,x,-z'
loop_
_atom_site_label
_atom_site_type_symbol
_atom_site_fract_x
_atom_site_fract_y
_atom_site_fract_z
Na1 Na 0.0000 0.0000 0.0000
Fe1 Fe 0.3333 0.6667 0.7242
I1 I 0.0067 0.3487 0.1937
Cl1 Cl 0.3333 0.6667 0.5275
# * total moment: 9.0 μB per formula unit
# * energy relative to the elements, uncorrected: -0.434 eV per atom



no.,calculated density (Mg/m³)
1,2.70
2,6.67
3,9.16
4,3.31